VASP calculation (GGA-PBE) on Sm3Er after structural relaxation.

E above lowest polymorph = 1.7 meV per atom
Calculated volume = 131.5 Å³/cell
Formation enthalpy at 0 K = 0.02 eV/atom

Geometry as POSCAR:
```
Sm3Er
1.0
5.085 0.000 0.000
0.000 5.085 0.000
0.000 0.000 5.085
Sm Er
3 1
Direct
0.000 0.000 0.500
0.000 0.500 0.000
0.500 0.000 0.000
0.500 0.500 0.500
```

VASP calculation (GGA-PBE) on Sm6Er3Sc after structural relaxation.

E above lowest polymorph = 83.6 meV per atom
Calculated volume = 327.8 Å³/cell
Formation enthalpy at 0 K = 0.22 eV/atom

Geometry as POSCAR:
```
Sm6Er3Sc
1.0
4.895 2.826 3.950
-4.895 2.826 3.950
0.000 -5.652 3.950
Sm Er Sc
6 3 1
Direct
0.000 0.328 0.672
0.163 0.834 0.506
0.328 0.672 0.000
0.506 0.163 0.834
0.672 0.000 0.328
0.834 0.506 0.163
0.162 0.162 0.162
0.416 0.416 0.416
0.671 0.671 0.671
0.916 0.916 0.916
```

VASP calculation (GGA-PBE) on Sc3SnN after structural relaxation.

Calculated volume = 381.0 Å³/cell
E_form (uncorrected) = -0.96 eV/atom

Geometry as POSCAR:
```
Sc3SnN
1.0
8.365 0.000 0.000
0.000 5.804 0.000
-3.286 0.000 7.847
Sc Sn N
12 4 4
Direct
0.043 0.081 0.349
0.043 0.419 0.849
0.177 0.571 0.537
0.177 0.929 0.037
0.347 0.143 0.753
0.347 0.357 0.253
0.653 0.643 0.747
0.653 0.857 0.247
0.823 0.071 0.963
0.823 0.429 0.463
0.957 0.581 0.151
0.957 0.919 0.651
0.371 0.668 0.890
0.371 0.832 0.390
0.629 0.168 0.610
0.629 0.332 0.110
0.072 0.247 0.594
0.072 0.253 0.094
0.928 0.747 0.906
0.928 0.753 0.406
```

VASP calculation (GGA-PBE) on TlCo2As after structural relaxation.

E above lowest polymorph = 272.4 meV per atom
Calculated volume = 266.2 Å³/cell
Formation enthalpy at 0 K = 0.43 eV/atom

Geometry as POSCAR:
```
TlCo2As
1.0
6.728 0.000 0.000
0.000 6.728 0.000
0.000 0.000 5.881
Tl Co As
4 8 4
Direct
0.000 0.000 0.000
0.000 0.500 0.250
0.500 0.000 0.750
0.500 0.500 0.500
0.190 0.250 0.625
0.250 0.690 0.875
0.250 0.810 0.375
0.310 0.250 0.125
0.690 0.750 0.125
0.750 0.190 0.375
0.750 0.310 0.875
0.810 0.750 0.625
0.000 0.000 0.500
0.000 0.500 0.750
0.500 0.000 0.250
0.500 0.500 0.000
```

VASP calculation (GGA-PBE) on RbCd2CuSn after structural relaxation.

E above lowest polymorph = 0.0 meV per atom
Calculated volume = 144.4 Å³/cell
Formation enthalpy at 0 K = 0.06 eV/atom

Geometry as POSCAR:
```
RbCd2CuSn
1.0
5.294 0.000 0.000
0.000 5.294 0.000
0.000 0.000 5.153
Rb Cd Cu Sn
1 2 1 1
Direct
0.000 0.000 0.000
0.000 0.500 0.500
0.500 0.000 0.500
0.500 0.500 0.500
0.500 0.500 0.000
```

VASP calculation (GGA-PBE) on ScGeOs after structural relaxation.

Calculated volume = 204.6 Å³/cell
Formation enthalpy at 0 K = -0.42 eV/atom

Geometry as POSCAR:
```
ScGeOs
1.0
10.612 0.000 0.000
0.000 3.197 0.000
-3.736 0.000 6.032
Sc Ge Os
4 4 4
Direct
0.072 0.000 0.296
0.428 0.500 0.704
0.572 0.500 0.296
0.928 0.000 0.704
0.155 0.500 0.682
0.345 0.000 0.318
0.655 0.000 0.682
0.845 0.500 0.318
0.151 0.500 0.039
0.349 0.000 0.961
0.651 0.000 0.039
0.849 0.500 0.961
```

| no. | E_tot (eV/cell) |
| --- | --- |
| 1 | -18.65 |
| 2 | -46.10 |
| 3 | -144.43 |
| 4 | -78.00 |
| 5 | -10.59 |
| 6 | -93.79 |